DFT (PBE-GGA) results for a relaxed structure of Cd2PdF.

Computed properties:
- energy above the most stable polymorph in this dataset (meV/atom) = 118
- E_form (uncorrected) (kcal/mol of atoms) = -14.68
- raw total energy (eV/atom) = -2.860

a b c (Å): 6.535 6.535 6.535
angles (deg): 90.00 90.00 90.00
Space group Fm-3m (No. 225)
Inequivalent atoms, fractional coordinates:
Cd 0.250 0.250 0.250 x8
Pd 0.000 0.000 0.000 x4
F 0.000 0.000 0.500 x4

DFT (PBE-GGA) results for a relaxed structure of Rb2Pu3Br8.

Computed properties:
- E_form (uncorrected) (kcal/mol of atoms) = -34.64
- raw total energy (eV/atom) = -5.988

a b c (Å): 10.515 16.680 5.222
angles (deg): 90.00 90.00 90.00
Space group Cmmm (No. 65)
Inequivalent atoms, fractional coordinates:
Rb 0.000 0.239 0.000 x4
Pu 0.000 0.500 0.000 x2
Pu 0.235 0.000 0.500 x4
Br 0.000 0.109 0.500 x4
Br 0.000 0.397 0.500 x4
Br 0.237 0.394 0.000 x8

What did the second record say?
DFT (PBE-GGA) results for a relaxed structure of Rb2Pu3Br8.

Computed properties:
- E_form (uncorrected) (kcal/mol of atoms) = -34.64
- raw total energy (eV/atom) = -5.988

a b c (Å): 10.515 16.680 5.222
angles (deg): 90.00 90.00 90.00
Space group Cmmm (No. 65)
Inequivalent atoms, fractional coordinates:
Rb 0.000 0.239 0.000 x4
Pu 0.000 0.500 0.000 x2
Pu 0.235 0.000 0.500 x4
Br 0.000 0.109 0.500 x4
Br 0.000 0.397 0.500 x4
Br 0.237 0.394 0.000 x8

Question: raw total energy of number 2 (Rb2Pu3Br8)?
Answer: -5.988 eV/atom